A plane-wave DFT calculation with GGA-PBE was carried out for a geometry-optimized Mg2Sc2ZnAgAu2 structure.

The structure in POSCAR format:
```
Mg2Sc2ZnAgAu2
1.0
-2.326 1.116 3.958
-0.157 -4.568 1.196
5.807 0.646 3.231
Mg Au Sc Ag Zn
2 2 2 1 1
Direct
0.000 0.500 0.251
0.500 0.000 0.749
0.500 0.500 0.500
0.000 0.000 0.000
0.500 0.000 0.254
0.000 0.500 0.746
0.500 0.500 0.000
0.000 0.000 0.500
```

=====

A plane-wave DFT calculation with GGA-PBE was carried out for a geometry-optimized Mg2ZrScAg2Au2 structure.

The structure in POSCAR format:
```
Mg2ZrScAg2Au2
1.0
-4.495 0.290 -1.514
0.958 -3.130 -3.445
-1.707 -5.039 4.104
Ag Au Zr Mg Sc
2 2 1 2 1
Direct
0.500 0.000 0.250
0.000 0.500 0.750
0.500 0.000 0.750
0.000 0.500 0.250
0.000 0.000 0.000
0.500 0.500 0.000
0.000 0.000 0.500
0.500 0.500 0.500
```

=====

A plane-wave DFT calculation with GGA-PBE was carried out for a geometry-optimized TbMg2AgAu4 structure.

The structure in POSCAR format:
```
TbMg2AgAu4
1.0
4.818 0.000 0.000
0.000 4.818 0.000
0.000 0.000 6.787
Mg Au Tb Ag
2 4 1 1
Direct
0.000 0.000 0.000
0.500 0.500 0.500
0.500 0.000 0.260
0.500 0.000 0.740
0.000 0.500 0.740
0.000 0.500 0.260
0.500 0.500 0.000
0.000 0.000 0.500
```

=====

A plane-wave DFT calculation with GGA-PBE was carried out for a geometry-optimized Y3MgTl2AgAu2 structure.

The structure in POSCAR format:
```
Y3MgTl2AgAu2
1.0
3.977 0.000 0.000
0.000 6.885 3.886
0.000 -6.885 3.886
Ag Tl Au Mg Y
1 2 2 1 3
Direct
0.500 0.984 0.984
0.000 0.257 0.994
0.000 0.994 0.257
0.000 0.669 0.353
0.000 0.353 0.669
0.000 0.744 0.744
0.500 0.408 0.408
0.500 0.002 0.589
0.500 0.589 0.002
```

=====

A plane-wave DFT calculation with GGA-PBE was carried out for a geometry-optimized TmMg2AgAu4 structure.

The structure in POSCAR format:
```
TmMg2AgAu4
1.0
4.785 0.000 0.000
0.000 4.785 0.000
0.000 0.000 6.757
Mg Au Tm Ag
2 4 1 1
Direct
0.500 0.500 0.500
0.000 0.000 0.000
0.500 0.000 0.754
0.500 0.000 0.246
0.000 0.500 0.754
0.000 0.500 0.246
0.000 0.000 0.500
0.500 0.500 0.000
```

=====

A plane-wave DFT calculation with GGA-PBE was carried out for a geometry-optimized Tm3Mg3AgAu2 structure.

The structure in POSCAR format:
```
Tm3Mg3AgAu2
1.0
7.661 0.000 0.000
-3.830 6.634 0.000
0.000 0.000 3.964
Au Ag Mg Tm
2 1 3 3
Direct
0.333 0.667 0.000
0.667 0.333 0.000
0.000 0.000 0.500
0.252 0.252 0.000
0.000 0.748 0.000
0.748 0.000 0.000
0.000 0.414 0.500
0.414 0.000 0.500
0.586 0.586 0.500
```

=====

A plane-wave DFT calculation with GGA-PBE was carried out for a geometry-optimized Y3Mg3AgAu2 structure.

The structure in POSCAR format:
```
Y3Mg3AgAu2
1.0
-7.452 1.312 -1.303
4.072 -4.241 -4.938
-0.959 -3.362 2.097
Y Au Mg Ag
3 2 3 1
Direct
0.000 0.584 0.000
0.584 0.000 0.000
0.416 0.416 0.000
0.333 0.667 0.500
0.667 0.333 0.500
0.000 0.249 0.500
0.249 0.000 0.500
0.751 0.751 0.500
0.000 0.000 0.000
```

=====

A plane-wave DFT calculation with GGA-PBE was carried out for a geometry-optimized AgAuN4 structure.

The structure in POSCAR format:
```
AgAuN4
1.0
-2.009 0.687 -7.407
-2.515 -1.633 0.531
-2.351 5.432 5.572
Ag N Au
2 8 2
Direct
0.500 0.517 0.750
0.500 0.483 0.250
0.267 0.836 0.310
0.734 0.837 0.045
0.733 0.836 0.190
0.267 0.164 0.810
0.266 0.837 0.455
0.734 0.163 0.545
0.733 0.164 0.690
0.266 0.163 0.955
0.000 0.000 0.500
0.000 0.000 0.000
```

=====

A plane-wave DFT calculation with GGA-PBE was carried out for a geometry-optimized AgAuNO structure.

Values from the calculation:
Distance to the lowest polymorph of the same formula (meV per atom): 100

The structure in POSCAR format:
```
AgAuNO
1.0
-1.416 0.730 -3.943
-2.049 -3.726 0.046
-5.132 2.851 2.371
O Au N Ag
2 2 2 2
Direct
0.750 0.250 0.000
0.250 0.750 0.000
0.250 0.750 0.500
0.750 0.250 0.500
0.250 0.250 0.571
0.750 0.750 0.429
0.750 0.750 0.945
0.250 0.250 0.055
```

=====

A plane-wave DFT calculation with GGA-PBE was carried out for a geometry-optimized AgAuNO structure.

Values from the calculation:
Distance to the lowest polymorph of the same formula (meV per atom): 115

The structure in POSCAR format:
```
AgAuNO
1.0
-3.198 1.846 -1.907
-2.630 -2.577 1.926
-0.535 4.400 5.156
Ag Au N O
2 2 2 2
Direct
0.250 0.250 0.073
0.750 0.750 0.927
0.750 0.250 0.500
0.250 0.750 0.500
0.250 0.250 0.579
0.750 0.750 0.421
0.250 0.750 0.000
0.750 0.250 0.000
```

=====

A plane-wave DFT calculation with GGA-PBE was carried out for a geometry-optimized AgAuNO structure.

Values from the calculation:
Distance to the lowest polymorph of the same formula (meV per atom): 270

The structure in POSCAR format:
```
AgAuNO
1.0
2.946 -2.941 0.000
2.946 2.941 0.000
0.000 0.000 6.664
Ag N Au O
2 2 2 2
Direct
0.750 0.250 0.500
0.250 0.750 0.500
0.750 0.750 0.416
0.250 0.250 0.584
0.250 0.250 0.078
0.750 0.750 0.922
0.750 0.250 0.000
0.250 0.750 0.000
```

=====

A plane-wave DFT calculation with GGA-PBE was carried out for a geometry-optimized AgAuNO structure.

Values from the calculation:
Distance to the lowest polymorph of the same formula (meV per atom): 149

The structure in POSCAR format:
```
AgAuNO
1.0
4.630 0.000 0.000
0.000 4.630 0.000
0.000 0.000 4.675
Au Ag O N
2 2 2 2
Direct
0.250 0.250 0.002
0.750 0.750 0.998
0.750 0.250 0.500
0.250 0.750 0.500
0.750 0.250 0.000
0.250 0.750 0.000
0.250 0.250 0.502
0.750 0.750 0.498
```

=====

A plane-wave DFT calculation with GGA-PBE was carried out for a geometry-optimized AgAuNO structure.

Values from the calculation:
Distance to the lowest polymorph of the same formula (meV per atom): 0

The structure in POSCAR format:
```
AgAuNO
1.0
-1.912 -3.311 0.000
0.000 0.000 5.990
-4.411 2.547 0.000
Ag O Au N
2 2 2 2
Direct
0.500 0.371 0.978
0.500 0.871 0.022
0.500 0.984 0.596
0.500 0.484 0.404
0.000 0.569 0.482
0.000 0.069 0.518
0.000 0.830 0.227
0.000 0.330 0.773
```

=====

A plane-wave DFT calculation with GGA-PBE was carried out for a geometry-optimized AgAuNO structure.

Values from the calculation:
Distance to the lowest polymorph of the same formula (meV per atom): 83

The structure in POSCAR format:
```
AgAuNO
1.0
-1.943 -3.365 0.000
0.000 0.000 5.555
-4.588 2.649 0.000
N Ag Au O
2 2 2 2
Direct
0.000 0.397 0.774
0.000 0.897 0.226
0.000 0.048 0.606
0.000 0.548 0.394
0.500 0.960 0.161
0.500 0.460 0.839
0.500 0.850 0.755
0.500 0.350 0.245
```

=====

A plane-wave DFT calculation with GGA-PBE was carried out for a geometry-optimized AgAuNO structure.

Values from the calculation:
Distance to the lowest polymorph of the same formula (meV per atom): 96

The structure in POSCAR format:
```
AgAuNO
1.0
5.586 0.000 0.000
0.000 5.657 0.000
0.000 0.000 7.134
Ag O Au N
4 4 4 4
Direct
0.576 0.482 0.656
0.076 0.018 0.656
0.076 0.518 0.344
0.576 0.982 0.344
0.415 0.104 0.063
0.915 0.896 0.937
0.415 0.604 0.937
0.915 0.396 0.063
0.029 0.080 0.191
0.529 0.920 0.809
0.029 0.580 0.809
0.529 0.420 0.191
0.183 0.885 0.387
0.183 0.385 0.613
0.683 0.615 0.387
0.683 0.115 0.613
```

=====

A plane-wave DFT calculation with GGA-PBE was carried out for a geometry-optimized Sr4AgAuN2 structure.

The structure in POSCAR format:
```
Sr4AgAuN2
1.0
5.291 0.000 0.000
0.000 1.887 9.654
0.000 -1.887 9.654
Sr N Au Ag
4 2 1 1
Direct
0.000 0.714 0.714
0.500 0.286 0.286
0.000 0.897 0.897
0.500 0.103 0.103
0.000 0.307 0.307
0.500 0.693 0.693
0.500 0.463 0.463
0.000 0.537 0.537
```

=====

A plane-wave DFT calculation with GGA-PBE was carried out for a geometry-optimized Tb2AgAuN4 structure.

The structure in POSCAR format:
```
Tb2AgAuN4
1.0
-2.069 -2.846 0.845
1.886 0.012 -3.088
9.424 -5.151 5.736
N Au Ag Tb
4 1 1 2
Direct
0.000 0.000 0.335
0.667 0.333 0.844
0.667 0.333 0.156
0.000 0.000 0.665
0.667 0.333 0.000
0.000 0.000 0.500
0.333 0.667 0.253
0.333 0.667 0.747
```

=====

A plane-wave DFT calculation with GGA-PBE was carried out for a geometry-optimized Y2AgAuN4 structure.

The structure in POSCAR format:
```
Y2AgAuN4
1.0
-0.752 -3.065 1.737
1.274 -0.104 -3.368
11.391 -0.346 4.322
Y N Au Ag
2 4 1 1
Direct
0.667 0.333 0.753
0.667 0.333 0.247
0.000 0.000 0.164
0.333 0.667 0.344
0.333 0.667 0.656
0.000 0.000 0.836
0.333 0.667 0.500
0.000 0.000 0.000
```

=====

A plane-wave DFT calculation with GGA-PBE was carried out for a geometry-optimized Zr4AgAuN2 structure.

The structure in POSCAR format:
```
Zr4AgAuN2
1.0
-2.072 4.112 0.232
-1.252 -1.121 8.680
1.664 0.348 8.676
Zr N Au Ag
4 2 1 1
Direct
0.500 0.892 0.892
0.500 0.713 0.713
0.000 0.107 0.107
0.000 0.288 0.288
0.500 0.302 0.302
0.000 0.697 0.697
0.000 0.455 0.455
0.500 0.545 0.545
```

=====

A plane-wave DFT calculation with GGA-PBE was carried out for a geometry-optimized NaNbAgAu structure.

Values from the calculation:
Distance to the lowest polymorph of the same formula (meV per atom): 56

The structure in POSCAR format:
```
NaNbAgAu
1.0
0.000 3.292 3.292
3.292 0.000 3.292
3.292 3.292 0.000
Na Ag Au Nb
1 1 1 1
Direct
0.250 0.250 0.250
0.500 0.500 0.500
0.750 0.750 0.750
0.000 0.000 0.000
```

=====

A plane-wave DFT calculation with GGA-PBE was carried out for a geometry-optimized NaNbAgAu structure.

Values from the calculation:
Distance to the lowest polymorph of the same formula (meV per atom): 0

The structure in POSCAR format:
```
NaNbAgAu
1.0
1.053 -4.196 1.877
-0.075 -0.576 4.680
-3.384 -2.604 2.001
Na Ag Nb Au
1 1 1 1
Direct
0.500 0.500 0.500
0.250 0.250 0.250
0.000 0.000 0.000
0.750 0.750 0.750
```

=====

A plane-wave DFT calculation with GGA-PBE was carried out for a geometry-optimized Na4AgP2Au structure.

The structure in POSCAR format:
```
Na4AgP2Au
1.0
3.475 -4.334 0.000
3.475 4.334 0.000
-0.087 0.000 5.732
Au P Na Ag
1 2 4 1
Direct
0.000 0.000 0.000
0.716 0.716 0.750
0.284 0.284 0.250
0.533 0.176 0.753
0.467 0.824 0.247
0.824 0.467 0.247
0.176 0.533 0.753
0.000 0.000 0.500
```

=====

A plane-wave DFT calculation with GGA-PBE was carried out for a geometry-optimized Na4AgPb2Au structure.

The structure in POSCAR format:
```
Na4AgPb2Au
1.0
5.085 0.000 0.000
0.000 5.085 0.000
0.000 0.000 7.153
Ag Na Pb Au
1 4 2 1
Direct
0.000 0.000 0.000
0.500 0.000 0.256
0.000 0.000 0.500
0.000 0.500 0.744
0.500 0.500 0.000
0.500 0.000 0.751
0.000 0.500 0.249
0.500 0.500 0.500
```

=====

A plane-wave DFT calculation with GGA-PBE was carried out for a geometry-optimized Na2AgSn4Au structure.

The structure in POSCAR format:
```
Na2AgSn4Au
1.0
4.572 0.000 0.000
0.000 7.879 0.000
-2.260 0.000 5.594
Au Na Sn Ag
1 2 4 1
Direct
0.710 0.500 0.417
0.570 0.000 0.137
0.429 0.500 0.862
0.860 0.203 0.725
0.140 0.700 0.276
0.140 0.300 0.276
0.860 0.797 0.725
0.289 0.000 0.582
```

=====

Values for final energy, eV for the cell shown, ordered as above
-30.7, -33.9, -27.9, -40.0, -27.9, -32.4, -38.5, -71.2, -31.5, -31.4, -30.1, -31.1, -32.3, -31.6, -63.0, -33.9, -48.9, -52.5, -65.4, -16.1, -16.3, -25.5, -20.1, -26.4